DFT (GGA-PBE) results for crystalline Pr5ErPb6 at its relaxed geometry.

CIF file:
```
data_Pr5ErPb6
_chemical_formula_sum 'Pr10 Er2 Pb12'
_cell_length_a 8.3976
_cell_length_b 11.4426
_cell_length_c 8.4450
_cell_angle_alpha 90.00
_cell_angle_beta 100.81
_cell_angle_gamma 90.00
_space_group_name_H-M_alt 'C 1 2/m 1'
_space_group_IT_number 12
_space_group_name_Hall '-C 2y'
loop_
_atom_site_label
_atom_site_type_symbol
_atom_site_fract_x
_atom_site_fract_y
_atom_site_fract_z
_atom_site_occupancy
Pr1 Pr 0.0000 0.0000 0.0000 1
Pr2 Pr 0.0000 0.1697 0.5000 1
Pr3 Pr 0.0000 0.3307 0.0000 1
Er1 Er 0.0000 0.5000 0.5000 1
Pb1 Pb 0.2449 0.5000 0.2544 1
Pb2 Pb 0.2461 0.3410 0.7464 1
```

Calculated values
* V: 797.08 Å³ per cell
* energy above the most stable polymorph in this dataset: 61 meV/atom
* ρ: 8.81 Mg/m³
* ΔH_f (0 K): -438 meV/atom